4
Lattice="0.0000 3.7967 3.7967 3.7967 0.0000 3.7967 3.7967 3.7967 0.0000" Properties=species:S:1:pos:R:3 comment="Y2ZrTl, optimized geometry, DFT PBE" delta_e_f_ev_per_atom=0.00 pbc="T T T"
Y 1.8984 1.8984 1.8984
Y 5.6951 5.6951 5.6951
Zr 0.0000 0.0000 0.0000
Tl 3.7967 3.7967 3.7967


3
Lattice="3.7401 0.0000 0.0000 -1.8700 3.2390 0.0000 0.0000 0.0000 4.2669" Properties=species:S:1:pos:R:3 comment="PuAsN, optimized geometry, DFT PBE" e_form_raw_ev_per_atom=-0.5197 pbc="T T T"
Pu 0.0000 0.0000 0.0000
As 0.0000 2.1593 2.1334
N 1.8700 1.0797 0.0000


Total magnetization for every record listed, in sequence, given in μB per formula unit: 2.78, 3.08.
V for every record listed, in sequence, given in A^3/atom: 27.37, 17.23.
ΔE to the lowest computed polymorph for every record listed, in sequence, given in eV per atom: 0.138, 0.409.